# Np3U2Se8, optimized geometry, DFT PBE
data_Np3U2Se8
_chemical_formula_sum 'Np3 U2 Se8'
_cell_length_a 4.895
_cell_length_b 9.808
_cell_length_c 8.543
_cell_angle_alpha 125.03
_cell_angle_beta 90.00
_cell_angle_gamma 90.00
_space_group_name_H-M_alt 'P 1'
_space_group_IT_number 1
loop_
_space_group_symop_operation_xyz
'x,y,z'
loop_
_atom_site_label
_atom_site_type_symbol
_atom_site_fract_x
_atom_site_fract_y
_atom_site_fract_z
Np1 Np 0.500 0.000 0.000
Np2 Np 0.000 0.264 0.000
Np3 Np 0.000 0.736 0.000
U1 U 0.500 0.261 0.522
U2 U 0.500 0.739 0.478
Se1 Se 0.000 0.627 0.253
Se2 Se 0.000 0.373 0.747
Se3 Se 0.000 0.121 0.243
Se4 Se 0.000 0.879 0.757
Se5 Se 0.500 0.633 0.750
Se6 Se 0.500 0.117 0.750
Se7 Se 0.500 0.883 0.250
Se8 Se 0.500 0.367 0.250
# Energy relative to the lowest polymorph listed for this composition (meV/atom): 0
# Total DFT energy (no corrections) (eV per atom): -7.896
# Density (g/cm³): 9.0
# Fermi-level density of states (states/eV/atom): 2.66
# Energy relative to the elements, uncorrected (meV/atom): -1029
# SG: Cmmm, No. 65